No. 1
The following is a DFT calculation (PBE+U) of Mg14AlFeO16 after structural relaxation.

Values from the calculation:
Total magnetization, Bohr magnetons per cell: 3.05
Density of states at the Fermi level, states/eV/cell: 1.7
Space group: Pmmm, No. 47
Total DFT energy (no corrections), eV for the cell shown: -193.22

Cell lengths 4.248, 8.502, 8.548 Å; angles 90.00, 90.00, 90.00 degrees
Each line ends with the local moment (μB).
Fractional positions:
Mg 0.500 0.500 0.749  0.00
Mg 0.500 0.500 0.251  0.00
Mg 0.500 0.000 0.256  0.00
O 0.500 0.751 0.249  0.00
Mg 0.500 0.000 0.744  0.00
O 0.500 0.000 0.500  0.01
O 0.000 0.500 0.756  0.00
O 0.000 0.500 0.244  0.00
Mg 0.000 0.752 0.746  0.00
O 0.500 0.751 0.751  0.00
O 0.500 0.500 0.500  0.00
O 0.500 0.000 0.000  0.00
Mg 0.500 0.751 0.000  0.00
O 0.000 0.237 0.000  0.00
O 0.500 0.500 0.000  0.00
Mg 0.000 0.500 0.500  0.00
Fe 0.000 0.000 0.500  2.94
O 0.000 0.000 0.216  0.01
O 0.500 0.249 0.249  0.00
O 0.000 0.000 0.784  0.01
Mg 0.000 0.500 0.000  0.00
O 0.000 0.763 0.000  0.00
Mg 0.000 0.752 0.254  0.00
Mg 0.500 0.751 0.500  0.00
Al 0.000 0.000 0.000  0.01
Mg 0.000 0.248 0.746  0.00
O 0.500 0.249 0.751  0.00
Mg 0.500 0.249 0.000  0.00
Mg 0.500 0.249 0.500  0.00
O 0.000 0.262 0.500  0.01
O 0.000 0.738 0.500  0.01
Mg 0.000 0.248 0.254  0.00

=====

No. 2
The following is a DFT calculation (PBE+U) of Tb4MgAl2Fe2O12 after structural relaxation.

Values from the calculation:
Total magnetization, Bohr magnetons per cell: 8.04
Density of states at the Fermi level, states/eV/cell: 0.0
Space group: P1, No. 1
Excess energy over the best structure of this formula in the dataset, meV/atom: 12
Total DFT energy (no corrections), eV for the cell shown: -157.44

Cell lengths 5.358, 5.861, 8.261 Å; angles 92.84, 94.86, 90.21 degrees
Each line ends with the local moment (μB).
Fractional positions:
O 0.723 0.338 0.539  0.03
Al 0.993 0.546 0.501  0.01
O 0.338 0.937 0.782  0.02
Al 0.538 0.059 0.969  0.00
O 0.812 0.820 0.564  0.03
Tb 0.464 0.411 0.280  0.01
O 0.693 0.105 0.179  0.04
Fe 0.494 0.999 0.510  3.72
O 0.210 0.188 0.429  0.04
O 0.851 0.565 0.285  0.04
Fe 0.954 0.372 0.093  3.72
O 0.228 0.138 0.058  0.05
O 0.246 0.629 0.101  0.04
O 0.782 0.848 0.905  0.00
Mg 0.111 0.720 0.894  0.00
Tb 0.554 0.591 0.719  0.00
O 0.292 0.683 0.455  0.03
O 0.692 0.310 0.889  0.02
O 0.135 0.487 0.716  0.00
Tb 0.974 0.132 0.724  -0.01
Tb 0.040 0.909 0.247  0.00

=====

No. 3
The following is a DFT calculation (PBE+U) of Tb4MgAl2Fe2O12 after structural relaxation.

Values from the calculation:
Total magnetization, Bohr magnetons per cell: 8.05
Density of states at the Fermi level, states/eV/cell: 0.0
Space group: P1, No. 1
Excess energy over the best structure of this formula in the dataset, meV/atom: 0
Total DFT energy (no corrections), eV for the cell shown: -157.69

Cell lengths 5.406, 5.868, 8.234 Å; angles 85.43, 84.78, 84.84 degrees
Each line ends with the local moment (μB).
Fractional positions:
Tb 0.555 0.072 0.531  0.00
O 0.277 0.293 0.937  0.04
O 0.771 0.114 0.017  0.02
O 0.652 0.887 0.777  0.01
Tb 0.432 0.565 0.745  0.00
O 0.189 0.528 0.269  0.06
O 0.671 0.633 0.088  0.06
O 0.759 0.342 0.645  0.00
O 0.245 0.837 0.586  0.03
O 0.395 0.001 0.222  0.04
Tb 0.025 0.076 0.780  0.01
O 0.813 0.248 0.334  0.01
O 0.236 0.338 0.578  0.01
Al 0.528 0.909 0.997  0.00
O 0.783 0.730 0.430  0.04
Tb 0.996 0.932 0.214  0.00
Mg 0.508 0.320 0.143  0.00
O 0.218 0.802 0.960  0.03
Al 0.967 0.443 0.456  0.00
Fe 0.013 0.492 0.047  3.70
Fe 0.468 0.677 0.344  3.75

=====

No. 4
The following is a DFT calculation (PBE+U) of Tb4MgAl2Fe2O12 after structural relaxation.

Values from the calculation:
Total magnetization, Bohr magnetons per cell: 8.00
Density of states at the Fermi level, states/eV/cell: 0.0
Space group: P1, No. 1
Excess energy over the best structure of this formula in the dataset, meV/atom: 18
Total DFT energy (no corrections), eV for the cell shown: -157.31

Cell lengths 5.439, 5.833, 8.356 Å; angles 94.41, 93.90, 90.94 degrees
Each line ends with the local moment (μB).
Fractional positions:
O 0.672 0.977 0.719  0.04
O 0.670 0.668 0.104  0.02
Mg 0.614 0.218 0.885  0.00
Tb 0.066 0.118 0.705  0.00
O 0.304 0.363 0.877  0.03
O 0.343 0.018 0.262  0.02
Tb 0.523 0.407 0.270  0.00
O 0.838 0.225 0.440  0.03
O 0.825 0.438 0.790  0.04
O 0.737 0.672 0.438  0.02
O 0.705 0.128 0.096  0.01
O 0.298 0.350 0.535  0.02
Al 0.032 0.509 0.453  0.01
Fe 0.029 0.545 0.993  3.75
Al 0.468 0.900 0.083  0.00
O 0.254 0.856 0.915  0.02
Tb 0.949 0.918 0.279  -0.01
Fe 0.513 0.007 0.494  3.74
O 0.129 0.539 0.242  0.03
O 0.188 0.802 0.542  0.03
Tb 0.480 0.629 0.720  0.01

=====

Q: Which formula does entry 3 have?
A: Tb4MgAl2Fe2O12